1.
LiCdTc3: single point on PBEsol structure, SCAN.

Cell lengths 4.8499, 4.8499, 4.8499 Å; angles 90.00, 90.00, 90.00 degrees
Last column: nearest neighbours and their distance in Å.
Fractional coordinates of all 5 atoms:
Li  0.0000  0.0000  0.0000  12 Tc 3.43
Cd  0.5000  0.5000  0.5000  6 Tc 2.42
Tc  0.0000  0.5000  0.5000  2 Cd 2.42
Tc  0.5000  0.0000  0.5000  2 Cd 2.42
Tc  0.5000  0.5000  0.0000  2 Cd 2.42

Computed properties:
symmetry = Pm-3m (221)
energy of formation from the pure elements = 12.27 eV per formula unit

=====

2.
AgPtNCl2: single point on PBEsol structure, SCAN.

Cell lengths 4.7401, 4.7401, 5.1763 Å; angles 90.00, 90.00, 90.00 degrees
Last column: nearest neighbours and their distance in Å.
Fractional coordinates of all 5 atoms:
Ag  0.0000  0.0000  0.0000  4 Cl 2.37, 2 Pt 2.59
Pt  0.0000  0.0000  0.5000  2 Ag 2.59
N  0.5000  0.5000  0.5000  4 Pt 3.35, 8 Cl 3.51
Cl  0.0000  0.5000  0.0000  2 Ag 2.37
Cl  0.5000  0.0000  0.0000  2 Ag 2.37

Computed properties:
symmetry = P4/mmm (123)
energy relative to the elements, uncorrected = 1.50 eV/atom

=====

3.
Cs3CdH5: single point on PBEsol structure, SCAN.

Cell lengths 8.4636, 8.4636, 8.4636 Å; angles 122.56, 122.56, 85.61 degrees
Last column: nearest neighbours and their distance in Å.
Fractional coordinates of all 18 atoms:
Cs  0.1789  0.6789  0.8579  8 H 2.99-3.23
Cs  0.2500  0.2500  0.0000  10 H 3.10-3.38
Cs  0.3211  0.1789  0.5000  8 H 2.99-3.23
Cs  0.6789  0.8211  0.5000  8 H 2.99-3.23
Cs  0.7500  0.7500  0.0000  10 H 3.10-3.38
Cs  0.8211  0.3211  0.1421  8 H 2.99-3.23
Cd  0.2500  0.7500  0.5000  4 H 1.83
Cd  0.7500  0.2500  0.5000  4 H 1.83
H  0.0000  0.0000  0.0000  6 Cs 2.99-3.10
H  0.0350  0.7894  0.5000  1 Cd 1.83
H  0.2106  0.7106  0.2456  1 Cd 1.83
H  0.2894  0.5350  0.5000  1 Cd 1.83
H  0.4650  0.9650  0.7544  1 Cd 1.83
H  0.5000  0.5000  0.0000  6 Cs 2.99-3.10
H  0.5350  0.0350  0.2456  1 Cd 1.83
H  0.7106  0.4650  0.5000  1 Cd 1.83
H  0.7894  0.2894  0.7544  1 Cd 1.83
H  0.9650  0.2106  0.5000  1 Cd 1.83

Computed properties:
symmetry = I4/mcm (140)

=====

Calculated total energy
In order: -25.143 -23.862 -18.173
Unit: eV per atom